(1)
Density functional theory data (PBE) for an optimized crystal structure of MnNb2Fe.

Structure (extended XYZ):
```
4
Lattice="1.495 0.863 7.831 -1.495 0.863 7.831 0.000 -1.726 7.831" Properties=species:S:1:pos:R:3 pbc="T T T"
Mn 0.000 0.000 0.000
Nb 0.000 0.000 5.892
Nb 0.000 0.000 17.600
Fe 0.000 0.000 11.746
```

- Calculated total energy: -9.147 eV/atom
- Polymorph energy (0 for the lowest one): 143.3 kJ/mol of formula units
- Calculated volume: 15.151 A^3/atom
- ΔE_f: 0.2963 eV/atom

=====

(2)
Density functional theory data (PBE) for an optimized crystal structure of MnNb3Fe8.

Structure (extended XYZ):
```
12
Lattice="2.402 1.387 7.832 -2.402 1.387 7.832 0.000 -2.774 7.832" Properties=species:S:1:pos:R:3 pbc="T T T"
Mn 0.000 0.000 0.000
Nb 0.000 0.000 8.712
Nb 0.000 0.000 11.682
Nb 0.000 0.000 20.648
Fe 0.000 0.000 4.371
Fe -1.203 -0.695 18.092
Fe 0.000 -1.383 14.168
Fe -1.198 0.691 14.168
Fe 0.000 0.000 16.130
Fe 1.198 0.691 14.168
Fe 1.203 -0.695 18.092
Fe 0.000 1.389 18.092
```

- Calculated total energy: -9.039 eV/atom
- Calculated volume: 13.047 A^3/atom
- ΔE_f: -0.1152 eV/atom

=====

(3)
Density functional theory data (PBE) for an optimized crystal structure of Mn2NbFe.

Structure (extended XYZ):
```
16
Lattice="6.145 0.000 0.000 0.000 3.861 0.000 0.000 0.000 8.795" Properties=species:S:1:pos:R:3 pbc="T T T"
Mn 0.315 0.965 1.036
Mn 1.461 2.895 0.385
Mn 1.611 0.965 4.782
Mn 2.757 2.895 5.434
Mn 3.387 0.965 3.361
Mn 4.533 2.895 4.012
Mn 4.684 0.965 8.410
Mn 5.830 2.895 7.758
Nb 1.495 2.895 2.849
Nb 1.577 0.965 7.246
Nb 4.567 2.895 1.548
Nb 4.650 0.965 5.946
Fe 0.256 2.895 5.422
Fe 2.816 0.965 1.024
Fe 3.329 2.895 7.771
Fe 5.888 0.965 3.373
```

- Calculated total energy: -9.150 eV/atom
- Calculated volume: 13.040 A^3/atom
- ΔE_f: 0.0681 eV/atom

=====

(4)
Density functional theory data (PBE) for an optimized crystal structure of MnNb2Fe.

Structure (extended XYZ):
```
8
Lattice="-3.457 3.457 2.672 3.457 -3.457 2.672 3.457 3.457 -2.672" Properties=species:S:1:pos:R:3 pbc="T T T"
Mn 0.000 0.000 0.000
Mn 0.000 3.457 1.336
Nb 1.728 -1.585 2.004
Nb 1.872 1.728 0.668
Nb 1.728 5.041 -0.668
Nb 1.585 1.728 3.340
Fe 3.457 0.000 1.336
Fe 0.000 0.000 2.672
```

- Calculated total energy: -8.961 eV/atom
- Polymorph energy (0 for the lowest one): 214.9 kJ/mol of formula units
- Calculated volume: 15.962 A^3/atom
- ΔE_f: 0.4816 eV/atom

=====

(5)
Density functional theory data (PBE) for an optimized crystal structure of MnNb2Fe.

Structure (extended XYZ):
```
4
Lattice="3.075 0.000 0.000 0.000 3.075 0.000 0.000 0.000 6.129" Properties=species:S:1:pos:R:3 pbc="T T T"
Mn 0.000 0.000 0.000
Nb 1.537 1.537 1.526
Nb 1.537 1.537 4.603
Fe 0.000 0.000 3.064
```

- Calculated total energy: -9.518 eV/atom
- Polymorph energy (0 for the lowest one): 0.0 kJ/mol of formula units
- Calculated volume: 14.483 A^3/atom
- ΔE_f: -0.0751 eV/atom

=====

(6)
Density functional theory data (PBE) for an optimized crystal structure of Mn2NbFe.

Structure (extended XYZ):
```
4
Lattice="3.604 0.000 0.000 0.000 3.604 0.000 0.000 0.000 4.017" Properties=species:S:1:pos:R:3 pbc="T T T"
Mn 0.000 1.802 0.000
Mn 1.802 0.000 0.000
Nb 0.000 0.000 2.008
Fe 1.802 1.802 2.008
```

- Calculated total energy: -9.103 eV/atom
- Calculated volume: 13.043 A^3/atom
- ΔE_f: 0.1154 eV/atom